No. 1
AcSm2Ho7: relaxed, GGA-PBE.

a = 5.671 Å, b = 9.183 Å, c = 9.183 Å
α = 123.36°, β = 90.00°, γ = 90.00°
Positions (direct):
Sm: 0.500 0.703 0.297
Ho: 0.000 0.776 0.224
Ho: 0.000 0.224 0.776
Ho: 0.500 0.500 0.500
Ac: 0.000 0.000 0.000
Ho: 0.500 0.295 0.060
Ho: 0.500 0.940 0.705
Ho: 0.500 0.705 0.940
Ho: 0.500 0.060 0.295
Sm: 0.500 0.297 0.703

ΔE_f = 6.8 eV per formula unit
total magnetization = 0.000 μB/atom


No. 2
AcSmHo2: relaxed, GGA-PBE.

a = 4.210 Å, b = 4.210 Å, c = 7.920 Å
α = 90.00°, β = 90.00°, γ = 90.00°
Positions (direct):
Ac: 0.500 0.500 0.500
Ho: 0.000 0.000 0.232
Ho: 0.000 0.000 0.768
Sm: 0.500 0.500 0.000

ΔE_f = 0.4 eV per formula unit
total magnetization = 0.000 μB/atom


No. 3
AcSm12Ho6: relaxed, GGA-PBE.

a = 8.661 Å, b = 8.661 Å, c = 8.661 Å
α = 88.72°, β = 88.72°, γ = 88.72°
Positions (direct):
Ho: 0.309 0.740 0.902
Ho: 0.098 0.691 0.260
Ho: 0.691 0.260 0.098
Ho: 0.260 0.098 0.691
Ac: 0.000 0.000 0.000
Sm: 0.776 0.541 0.431
Sm: 0.431 0.776 0.541
Ho: 0.740 0.902 0.309
Sm: 0.362 0.013 0.205
Sm: 0.987 0.795 0.638
Sm: 0.459 0.569 0.224
Ho: 0.902 0.309 0.740
Sm: 0.795 0.638 0.987
Sm: 0.013 0.205 0.362
Sm: 0.205 0.362 0.013
Sm: 0.569 0.224 0.459
Sm: 0.541 0.431 0.776
Sm: 0.224 0.459 0.569
Sm: 0.638 0.987 0.795

ΔE_f = 2.8 eV per formula unit
total magnetization = 0.000 μB/atom


No. 4
AcSm2Ho6: relaxed, GGA-PBE.

a = 6.878 Å, b = 6.878 Å, c = 9.333 Å
α = 68.38°, β = 68.38°, γ = 60.00°
Positions (direct):
Ho: 0.288 0.775 0.649
Ho: 0.288 0.288 0.649
Sm: 0.576 0.576 0.271
Ac: 0.334 0.334 0.997
Ho: 0.775 0.288 0.649
Ho: 0.049 0.555 0.347
Ho: 0.555 0.049 0.347
Sm: 0.750 0.750 0.749
Ho: 0.049 0.049 0.347

ΔE_f = 3.4 eV per formula unit
total magnetization = 0.000 μB/atom